DFT (PBE-GGA) results for a geometry-optimized DyErLuIn structure.

Properties
The theoretical density comes out at 9.25 Mg/m³. The calculation puts the calculated formation energy at -0.136 eV per atom. As for the total magnetization: 0.1 μB/f.u.

a b c (Å): 7.6330 7.6330 7.6330
angles (deg): 90.00 90.00 90.00
Closest atoms and distances in Å follow each position.
Space group F-43m (No. 216)
Unique sites:
Dy: 0.0000 0.0000 0.0000  4 In 3.31, 4 Lu 3.31
Er: 0.0000 0.0000 0.5000  4 In 3.31, 4 Lu 3.31
Lu: 0.2500 0.2500 0.7500  4 Dy 3.31, 4 Er 3.31
In: 0.2500 0.2500 0.2500  4 Dy 3.31, 4 Er 3.31